! PmCuRuPb | Alexandria | GGA-PBE | optimized geometry; values from VASP
! Formation energy: 29 meV/atom
&SYSTEM
  ibrav = 0, nat = 4, ntyp = 4
/
ATOMIC_SPECIES
Pm 145.00 Pm.upf
Cu 63.55 Cu.upf
Ru 101.07 Ru.upf
Pb 207.20 Pb.upf
CELL_PARAMETERS angstrom
0.000 3.425 3.425
3.425 0.000 3.425
3.425 3.425 0.000
ATOMIC_POSITIONS crystal
Pm 0.000 0.000 0.000
Cu 0.250 0.250 0.250
Ru 0.750 0.750 0.750
Pb 0.500 0.500 0.500

---

! PmCuPbS3 | Alexandria | GGA-PBE | optimized geometry; values from VASP
! Uncorrected formation energy: -1.07 eV/atom
&SYSTEM
  ibrav = 0, nat = 12, ntyp = 4
/
ATOMIC_SPECIES
Pm 145.00 Pm.upf
Cu 63.55 Cu.upf
Pb 207.20 Pb.upf
S 32.06 S.upf
CELL_PARAMETERS angstrom
8.433 0.000 0.000
0.000 3.981 0.000
-1.837 0.000 8.508
ATOMIC_POSITIONS crystal
Pm 0.170 0.250 0.176
Pm 0.830 0.750 0.824
Cu 0.417 0.750 0.417
Cu 0.583 0.250 0.583
Pb 0.319 0.750 0.772
Pb 0.681 0.250 0.228
S 0.070 0.250 0.838
S 0.293 0.250 0.497
S 0.395 0.750 0.140
S 0.605 0.250 0.860
S 0.707 0.750 0.503
S 0.930 0.750 0.162

---

! Pm2CuPbS4 | Alexandria | GGA-PBE | optimized geometry; values from VASP
! Uncorrected formation energy: -1.31 eV/atom
&SYSTEM
  ibrav = 0, nat = 16, ntyp = 4
/
ATOMIC_SPECIES
Pm 145.00 Pm.upf
Cu 63.55 Cu.upf
Pb 207.20 Pb.upf
S 32.06 S.upf
CELL_PARAMETERS angstrom
1.973 -6.710 0.000
1.973 6.710 0.000
0.000 0.000 14.027
ATOMIC_POSITIONS crystal
Pm 0.131 0.869 0.561
Pm 0.131 0.869 0.939
Pm 0.869 0.131 0.061
Pm 0.869 0.131 0.439
Cu 0.339 0.661 0.250
Cu 0.661 0.339 0.750
Pb 0.382 0.618 0.750
Pb 0.618 0.382 0.250
S 0.059 0.941 0.750
S 0.225 0.775 0.121
S 0.225 0.775 0.379
S 0.500 0.500 0.000
S 0.500 0.500 0.500
S 0.775 0.225 0.621
S 0.775 0.225 0.879
S 0.941 0.059 0.250

---

! PmScCuPb | Alexandria | GGA-PBE | optimized geometry; values from VASP
! Formation energy: -261 meV/atom
&SYSTEM
  ibrav = 0, nat = 4, ntyp = 4
/
ATOMIC_SPECIES
Pm 145.00 Pm.upf
Sc 44.96 Sc.upf
Cu 63.55 Cu.upf
Pb 207.20 Pb.upf
CELL_PARAMETERS angstrom
0.000 3.634 3.634
3.634 0.000 3.634
3.634 3.634 0.000
ATOMIC_POSITIONS crystal
Pm 0.000 0.000 0.000
Sc 0.500 0.500 0.500
Cu 0.750 0.750 0.750
Pb 0.250 0.250 0.250

---

Repeat the second record exactly.
! PmCuPbS3 | Alexandria | GGA-PBE | optimized geometry; values from VASP
! Uncorrected formation energy: -1.07 eV/atom
&SYSTEM
  ibrav = 0, nat = 12, ntyp = 4
/
ATOMIC_SPECIES
Pm 145.00 Pm.upf
Cu 63.55 Cu.upf
Pb 207.20 Pb.upf
S 32.06 S.upf
CELL_PARAMETERS angstrom
8.433 0.000 0.000
0.000 3.981 0.000
-1.837 0.000 8.508
ATOMIC_POSITIONS crystal
Pm 0.170 0.250 0.176
Pm 0.830 0.750 0.824
Cu 0.417 0.750 0.417
Cu 0.583 0.250 0.583
Pb 0.319 0.750 0.772
Pb 0.681 0.250 0.228
S 0.070 0.250 0.838
S 0.293 0.250 0.497
S 0.395 0.750 0.140
S 0.605 0.250 0.860
S 0.707 0.750 0.503
S 0.930 0.750 0.162